CrRuW2 | PBE | relaxed

a = 3.060 Å, b = 3.060 Å, c = 6.263 Å
α = 90.00°, β = 90.00°, γ = 90.00°
Space group P4mm (No. 99)
Symmetry-distinct sites (fractional):
Cr (0.000, 0.000, 0.000) (multiplicity 1)
Ru (0.500, 0.500, 0.260) (multiplicity 1)
W (0.000, 0.000, 0.512) (multiplicity 1)
W (0.500, 0.500, 0.785) (multiplicity 1)

Values from the calculation:
theoretical density = 14.75 Mg/m³
energy relative to the elements = 143 meV/atom
final energy = -44.2 eV for the cell shown
distance to the lowest polymorph of the same formula = 0.022 eV per atom
crystal system = tetragonal


CrRuW2 | PBE | relaxed

a = 5.384 Å, b = 8.567 Å, c = 2.713 Å
α = 90.00°, β = 109.92°, γ = 90.00°
Space group C2/m (No. 12)
Symmetry-distinct sites (fractional):
Cr (0.000, 0.000, 0.000) (multiplicity 2)
Ru (0.000, 0.500, 0.000) (multiplicity 2)
W (0.250, 0.250, 0.500) (multiplicity 4)

Values from the calculation:
theoretical density = 14.70 Mg/m³
energy relative to the elements = 175 meV/atom
final energy = -88.2 eV for the cell shown
distance to the lowest polymorph of the same formula = 0.054 eV per atom
crystal system = monoclinic


CrRuW4 | PBE | relaxed

a = 7.359 Å, b = 7.359 Å, c = 7.359 Å
α = 90.00°, β = 90.00°, γ = 90.00°
Space group F-43m (No. 216)
Symmetry-distinct sites (fractional):
Cr (0.000, 0.000, 0.000) (multiplicity 4)
Ru (0.250, 0.250, 0.750) (multiplicity 4)
W (0.126, 0.126, 0.374) (multiplicity 16)

Values from the calculation:
theoretical density = 14.81 Mg/m³
energy relative to the elements = 567 meV/atom
final energy = -269.2 eV for the cell shown
crystal system = cubic


CrRuW2 | PBE | relaxed

a = 2.7389 Å, b = 2.7389 Å, c = 27.4549 Å
α = 90.00°, β = 90.00°, γ = 120.00°
Space group R3m (No. 160, hexagonal axes)
Symmetry-distinct sites (fractional):
Cr (0.0000, 0.0000, 0.0000) (multiplicity 3)
Ru (0.0000, 0.0000, 0.7398) (multiplicity 3)
W (0.0000, 0.0000, 0.2495) (multiplicity 3)
W (0.0000, 0.0000, 0.4915) (multiplicity 3)

Values from the calculation:
theoretical density = 14.54 Mg/m³
energy relative to the elements = 338 meV/atom
final energy = -130.4 eV for the cell shown
distance to the lowest polymorph of the same formula = 0.216 eV per atom
crystal system = trigonal


CrRuW2 | PBE | relaxed

a = 2.717 Å, b = 3.874 Å, c = 5.611 Å
α = 90.00°, β = 90.00°, γ = 90.00°
Space group Pmm2 (No. 25)
Symmetry-distinct sites (fractional):
Cr (0.000, 0.000, 0.000) (multiplicity 1)
Ru (0.500, 0.500, 0.232) (multiplicity 1)
W (0.000, 0.000, 0.480) (multiplicity 1)
W (0.500, 0.500, 0.758) (multiplicity 1)

Values from the calculation:
theoretical density = 14.64 Mg/m³
energy relative to the elements = 272 meV/atom
final energy = -43.7 eV for the cell shown
distance to the lowest polymorph of the same formula = 0.151 eV per atom
crystal system = orthorhombic


CrRuW2 | PBE | relaxed

a = 3.088 Å, b = 4.459 Å, c = 8.523 Å
α = 90.00°, β = 90.00°, γ = 90.00°
Space group Cmmm (No. 65)
Symmetry-distinct sites (fractional):
Cr (0.000, 0.000, 0.000) (multiplicity 2)
Ru (0.000, 0.000, 0.500) (multiplicity 2)
W (0.000, 0.500, 0.242) (multiplicity 4)

Values from the calculation:
theoretical density = 14.74 Mg/m³
energy relative to the elements = 173 meV/atom
final energy = -88.2 eV for the cell shown
distance to the lowest polymorph of the same formula = 0.051 eV per atom
crystal system = orthorhombic


CrRuW2 | PBE | relaxed

a = 3.850 Å, b = 3.850 Å, c = 8.039 Å
α = 90.00°, β = 90.00°, γ = 90.00°
Space group I4/mmm (No. 139)
Symmetry-distinct sites (fractional):
Cr (0.000, 0.000, 0.000) (multiplicity 2)
Ru (0.000, 0.000, 0.500) (multiplicity 2)
W (0.000, 0.500, 0.250) (multiplicity 4)

Values from the calculation:
theoretical density = 14.51 Mg/m³
energy relative to the elements = 260 meV/atom
final energy = -87.5 eV for the cell shown
distance to the lowest polymorph of the same formula = 0.139 eV per atom
crystal system = tetragonal


CrRuW2 | PBE | relaxed

a = 2.714 Å, b = 4.332 Å, c = 5.091 Å
α = 90.00°, β = 101.07°, γ = 90.00°
Space group Pm (No. 6)
Symmetry-distinct sites (fractional):
Cr (0.000, 0.000, 0.000) (multiplicity 1)
Ru (0.716, 0.500, 0.264) (multiplicity 1)
W (0.215, 0.500, 0.776) (multiplicity 1)
W (0.449, 0.000, 0.504) (multiplicity 1)

Values from the calculation:
theoretical density = 14.72 Mg/m³
energy relative to the elements = 163 meV/atom
final energy = -44.2 eV for the cell shown
distance to the lowest polymorph of the same formula = 0.042 eV per atom
crystal system = monoclinic


CrRuW3 | PBE | relaxed

a = 4.640 Å, b = 4.640 Å, c = 4.640 Å
α = 90.00°, β = 90.00°, γ = 90.00°
Space group Pm-3m (No. 221)
Symmetry-distinct sites (fractional):
Cr (0.000, 0.000, 0.000) (multiplicity 1)
Ru (0.500, 0.500, 0.500) (multiplicity 1)
W (0.000, 0.500, 0.500) (multiplicity 3)

Values from the calculation:
theoretical density = 11.71 Mg/m³
energy relative to the elements = 2253 meV/atom
final energy = -46.5 eV for the cell shown
crystal system = cubic


CrRuW2 | PBE | relaxed

a = 3.821 Å, b = 3.821 Å, c = 8.077 Å
α = 90.00°, β = 90.00°, γ = 90.00°
Space group I-4m2 (No. 119)
Symmetry-distinct sites (fractional):
Cr (0.000, 0.000, 0.000) (multiplicity 2)
Ru (0.000, 0.500, 0.750) (multiplicity 2)
W (0.000, 0.000, 0.500) (multiplicity 2)
W (0.000, 0.500, 0.250) (multiplicity 2)

Values from the calculation:
theoretical density = 14.66 Mg/m³
energy relative to the elements = 276 meV/atom
final energy = -87.4 eV for the cell shown
distance to the lowest polymorph of the same formula = 0.155 eV per atom
crystal system = tetragonal


CrRuW2 | PBE | relaxed

a = 2.720 Å, b = 4.249 Å, c = 5.161 Å
α = 90.00°, β = 100.59°, γ = 90.00°
Space group P2/m (No. 10)
Symmetry-distinct sites (fractional):
Cr (0.000, 0.000, 0.000) (multiplicity 1)
Ru (0.500, 0.000, 0.500) (multiplicity 1)
W (0.227, 0.500, 0.757) (multiplicity 2)

Values from the calculation:
theoretical density = 14.75 Mg/m³
energy relative to the elements = 159 meV/atom
final energy = -44.2 eV for the cell shown
distance to the lowest polymorph of the same formula = 0.038 eV per atom
crystal system = monoclinic


CrRuW2 | PBE | relaxed

a = 3.012 Å, b = 3.012 Å, c = 6.409 Å
α = 90.00°, β = 90.00°, γ = 90.00°
Space group P4/mmm (No. 123)
Symmetry-distinct sites (fractional):
Cr (0.000, 0.000, 0.000) (multiplicity 1)
Ru (0.000, 0.000, 0.500) (multiplicity 1)
W (0.500, 0.500, 0.232) (multiplicity 2)

Values from the calculation:
theoretical density = 14.87 Mg/m³
energy relative to the elements = 121 meV/atom
final energy = -44.3 eV for the cell shown
distance to the lowest polymorph of the same formula = 0.000 eV per atom
crystal system = tetragonal


CrRuW2 | PBE | relaxed

a = 3.080 Å, b = 4.424 Å, c = 8.583 Å
α = 90.00°, β = 90.00°, γ = 90.00°
Space group Immm (No. 71)
Symmetry-distinct sites (fractional):
Cr (0.000, 0.000, 0.000) (multiplicity 2)
Ru (0.000, 0.000, 0.500) (multiplicity 2)
W (0.000, 0.500, 0.261) (multiplicity 4)

Values from the calculation:
theoretical density = 14.79 Mg/m³
energy relative to the elements = 138 meV/atom
final energy = -88.5 eV for the cell shown
distance to the lowest polymorph of the same formula = 0.017 eV per atom
crystal system = orthorhombic


CrRuW2 | PBE | relaxed

a = 2.7786 Å, b = 2.7786 Å, c = 26.9550 Å
α = 90.00°, β = 90.00°, γ = 120.00°
Space group R-3m (No. 166, hexagonal axes)
Symmetry-distinct sites (fractional):
Cr (0.0000, 0.0000, 0.0000) (multiplicity 3)
Ru (0.0000, 0.0000, 0.5000) (multiplicity 3)
W (0.0000, 0.0000, 0.2503) (multiplicity 6)

Values from the calculation:
theoretical density = 14.39 Mg/m³
energy relative to the elements = 356 meV/atom
final energy = -130.1 eV for the cell shown
distance to the lowest polymorph of the same formula = 0.235 eV per atom
crystal system = trigonal